Entry 1:
The following is a DFT calculation (PBE-GGA) of an optimized crystal structure of Pm3Nd2HoSe6.

```
data_Pm3Nd2HoSe6
_cell_length_a 18.218
_cell_length_b 4.167
_cell_length_c 8.419
_cell_angle_alpha 90.00
_cell_angle_beta 103.14
_cell_angle_gamma 90.00
_space_group_name_H-M_alt 'C 1 2/m 1'
_space_group_IT_number 12
loop_
_space_group_symop_operation_xyz
'x,y,z'
'-x,-y,-z'
'-x,y,-z'
'x,-y,z'
'x+1/2,y+1/2,z'
'-x+1/2,-y+1/2,-z'
'-x+1/2,y+1/2,-z'
'x+1/2,-y+1/2,z'
loop_
_atom_site_label
_atom_site_type_symbol
_atom_site_fract_x
_atom_site_fract_y
_atom_site_fract_z
Pm1 Pm 0.000 0.000 0.000
Pm2 Pm 0.171 0.500 0.334
Nd1 Nd 0.168 0.500 0.836
Ho1 Ho 0.000 0.000 0.500
Se1 Se 0.002 0.500 0.260
Se2 Se 0.161 0.000 0.579
Se3 Se 0.165 0.000 0.085
```

Spin magnetization in μB per cell: 0.000
D(E_F) in states/eV per cell: 11.63
Crystal system: monoclinic
Calculated volume in Å³/cell: 622.4
Electronic total energy in eV per atom: -5.9223

Entry 2:
The following is a DFT calculation (PBE-GGA) of an optimized crystal structure of Sr2Pd3RhPb4.

```
data_Sr2Pd3RhPb4
_cell_length_a 4.683
_cell_length_b 4.683
_cell_length_c 11.535
_cell_angle_alpha 90.00
_cell_angle_beta 90.00
_cell_angle_gamma 90.00
_space_group_name_H-M_alt 'P -4 m 2'
_space_group_IT_number 115
loop_
_space_group_symop_operation_xyz
'x,y,z'
'y,-x,-z'
'-x,-y,z'
'-y,x,-z'
'-x,y,z'
'-y,-x,-z'
'x,-y,z'
'y,x,-z'
loop_
_atom_site_label
_atom_site_type_symbol
_atom_site_fract_x
_atom_site_fract_y
_atom_site_fract_z
Sr1 Sr 0.000 0.500 0.241
Pd1 Pd 0.000 0.000 0.000
Pd2 Pd 0.000 0.500 0.641
Rh1 Rh 0.500 0.500 0.000
Pb1 Pb 0.000 0.000 0.500
Pb2 Pb 0.000 0.500 0.877
Pb3 Pb 0.500 0.500 0.500
```

Spin magnetization in μB per cell: 0.000
D(E_F) in states/eV per cell: 6.85
Crystal system: tetragonal
Energy of formation from the pure elements in meV/atom: -431
Calculated volume in Å³/cell: 253.0

Entry 3:
The following is a DFT calculation (PBE-GGA) of an optimized crystal structure of Sr3PPb.

```
data_Sr3PPb
_cell_length_a 5.817
_cell_length_b 5.817
_cell_length_c 5.817
_cell_angle_alpha 90.00
_cell_angle_beta 90.00
_cell_angle_gamma 90.00
_space_group_name_H-M_alt 'P m -3 m'
_space_group_IT_number 221
_space_group_name_Hall '-P 4 2 3'
loop_
_atom_site_label
_atom_site_type_symbol
_atom_site_fract_x
_atom_site_fract_y
_atom_site_fract_z
Sr1 Sr 0.000 0.000 0.500
P1 P 0.000 0.000 0.000
Pb1 Pb 0.500 0.500 0.500
```

Spin magnetization in μB per cell: 0.001
Energy relative to the lowest polymorph listed for this composition in meV per atom: 77.7
D(E_F) in states/eV per cell: 7.28
Crystal system: cubic
Energy of formation from the pure elements in meV/atom: -687
Calculated volume in Å³/cell: 196.8